# Li2RuF | Alexandria via LeMat-Bulk | PBE-GGA | relaxed
data_Li2RuF
_chemical_formula_sum 'Li6 Ru3 F3'
_symmetry_space_group_name_H-M 'R -3 m'
_symmetry_Int_Tables_number 166
_symmetry_space_group_name_Hall '-R 3 2"'
_cell_length_a 2.6798
_cell_length_b 2.6798
_cell_length_c 21.2055
_cell_angle_alpha 90.00
_cell_angle_beta 90.00
_cell_angle_gamma 120.00
loop_
_atom_site_label
_atom_site_type_symbol
_atom_site_fract_x
_atom_site_fract_y
_atom_site_fract_z
Li1 Li 0.0000 0.0000 0.2238
Ru1 Ru 0.0000 0.0000 0.0000
F1 F 0.0000 0.0000 0.5000
# - total energy (eV/atom) = -5.0583
# - total magnetization (μB per cell) = 0.0
# - DOS(E_F) (states/eV per atom) = 0.702
# - offset from the most stable computed form (eV/atom) = 0.000
# - volume (Å³/cell) = 131.9



# Rb3B2F8 | Alexandria via LeMat-Bulk | PBE-GGA | relaxed
data_Rb3B2F8
_chemical_formula_sum 'Rb9 B6 F24'
_symmetry_space_group_name_H-M 'R -3 m'
_symmetry_Int_Tables_number 166
_symmetry_space_group_name_Hall '-R 3 2"'
_cell_length_a 6.0290
_cell_length_b 6.0290
_cell_length_c 27.0568
_cell_angle_alpha 90.00
_cell_angle_beta 90.00
_cell_angle_gamma 120.00
loop_
_atom_site_label
_atom_site_type_symbol
_atom_site_fract_x
_atom_site_fract_y
_atom_site_fract_z
Rb1 Rb 0.0000 0.0000 0.0000
Rb2 Rb 0.0000 0.0000 0.2255
B1 B 0.0000 0.0000 0.3855
F1 F 0.0000 0.0000 0.3328
F2 F 0.0767 0.5383 0.2639
# - total energy (eV/atom) = -5.1451
# - total magnetization (μB per cell) = 0.0
# - DOS(E_F) (states/eV per atom) = 0.170
# - volume (Å³/cell) = 851.7



# Os2RhCl | Alexandria via LeMat-Bulk | PBE-GGA | relaxed
data_Os2RhCl
_chemical_formula_sum 'Os4 Rh2 Cl2'
_symmetry_space_group_name_H-M 'I m m 2'
_symmetry_Int_Tables_number 44
_cell_length_a 2.732
_cell_length_b 4.305
_cell_length_c 10.875
_cell_angle_alpha 90.00
_cell_angle_beta 90.00
_cell_angle_gamma 90.00
loop_
_symmetry_equiv_pos_as_xyz
'x,y,z'
'-x,-y,z'
'-x,y,z'
'x,-y,z'
'x+1/2,y+1/2,z+1/2'
'-x+1/2,-y+1/2,z+1/2'
'-x+1/2,y+1/2,z+1/2'
'x+1/2,-y+1/2,z+1/2'
loop_
_atom_site_label
_atom_site_type_symbol
_atom_site_fract_x
_atom_site_fract_y
_atom_site_fract_z
Os1 Os 0.000 0.000 0.000
Os2 Os 0.000 0.500 0.301
Rh1 Rh 0.000 0.500 0.729
Cl1 Cl 0.000 0.000 0.523
# - total energy (eV/atom) = -7.0188
# - total magnetization (μB per cell) = 0.0
# - DOS(E_F) (states/eV per atom) = 0.933
# - offset from the most stable computed form (eV/atom) = 0.461
# - volume (Å³/cell) = 127.9



# Ca4AcPd5 | Alexandria via LeMat-Bulk | PBE-GGA | relaxed
data_Ca4AcPd5
_chemical_formula_sum 'Ca4 Ac1 Pd5'
_symmetry_space_group_name_H-M 'P 4/m m m'
_symmetry_Int_Tables_number 123
_symmetry_space_group_name_Hall '-P 4 2'
_cell_length_a 3.615
_cell_length_b 3.615
_cell_length_c 17.730
_cell_angle_alpha 90.00
_cell_angle_beta 90.00
_cell_angle_gamma 90.00
loop_
_atom_site_label
_atom_site_type_symbol
_atom_site_fract_x
_atom_site_fract_y
_atom_site_fract_z
Ca1 Ca 0.000 0.000 0.097
Ca2 Ca 0.000 0.000 0.290
Ac1 Ac 0.000 0.000 0.500
Pd1 Pd 0.500 0.500 0.000
Pd2 Pd 0.500 0.500 0.195
Pd3 Pd 0.500 0.500 0.390
# - total energy (eV/atom) = -4.4921
# - total magnetization (μB per cell) = 0.0
# - DOS(E_F) (states/eV per atom) = 0.249
# - ΔE_f (meV per atom) = -684
# - volume (Å³/cell) = 231.7